# 1
# PBE-GGA PaNi2GeH, optimized geometry
data_PaNi2GeH
_symmetry_space_group_name_H-M 'P 1'
_symmetry_Int_Tables_number 1
_cell_length_a 3.675
_cell_length_b 3.675
_cell_length_c 5.182
_cell_angle_alpha 90.00
_cell_angle_beta 90.00
_cell_angle_gamma 90.00
loop_
_symmetry_equiv_pos_as_xyz
'x,y,z'
loop_
_atom_site_label
_atom_site_type_symbol
_atom_site_fract_x
_atom_site_fract_y
_atom_site_fract_z
Pa1 Pa 0.000 0.000 0.000
Ni1 Ni 0.000 0.500 0.587
Ni2 Ni 0.500 0.000 0.587
Ge1 Ge 0.500 0.500 0.277
H1 H 0.000 0.000 0.549
# - Magnetization: 0.00 μB per formula unit
# - Fermi-level density of states: 0.82 states/eV per atom


# 2
# PBE-GGA Pa2Ni12GeH3, optimized geometry
data_Pa2Ni12GeH3
_symmetry_space_group_name_H-M 'P 1'
_symmetry_Int_Tables_number 1
_cell_length_a 6.818
_cell_length_b 6.818
_cell_length_c 6.818
_cell_angle_alpha 57.08
_cell_angle_beta 57.08
_cell_angle_gamma 57.08
loop_
_symmetry_equiv_pos_as_xyz
'x,y,z'
loop_
_atom_site_label
_atom_site_type_symbol
_atom_site_fract_x
_atom_site_fract_y
_atom_site_fract_z
Pa1 Pa 0.099 0.099 0.099
Pa2 Pa 0.901 0.901 0.901
Ni1 Ni 0.052 0.644 0.644
Ni2 Ni 0.217 0.217 0.594
Ni3 Ni 0.217 0.594 0.217
Ni4 Ni 0.356 0.356 0.948
Ni5 Ni 0.356 0.948 0.356
Ni6 Ni 0.406 0.783 0.783
Ni7 Ni 0.594 0.217 0.217
Ni8 Ni 0.644 0.052 0.644
Ni9 Ni 0.644 0.644 0.052
Ni10 Ni 0.783 0.406 0.783
Ni11 Ni 0.783 0.783 0.406
Ni12 Ni 0.948 0.356 0.356
Ge1 Ge 0.500 0.500 0.500
H1 H 0.000 0.500 0.500
H2 H 0.500 0.000 0.500
H3 H 0.500 0.500 0.000
# - Magnetization: 0.00 μB per formula unit
# - Fermi-level density of states: 0.74 states/eV per atom


# 3
# PBE-GGA NiGeHPd2, optimized geometry
data_NiGeHPd2
_symmetry_space_group_name_H-M 'P 1'
_symmetry_Int_Tables_number 1
_cell_length_a 4.051
_cell_length_b 4.051
_cell_length_c 3.607
_cell_angle_alpha 90.00
_cell_angle_beta 90.00
_cell_angle_gamma 90.00
loop_
_symmetry_equiv_pos_as_xyz
'x,y,z'
loop_
_atom_site_label
_atom_site_type_symbol
_atom_site_fract_x
_atom_site_fract_y
_atom_site_fract_z
Ni1 Ni 0.000 0.000 0.000
Ge1 Ge 0.500 0.500 0.000
H1 H 0.000 0.000 0.500
Pd1 Pd 0.000 0.500 0.500
Pd2 Pd 0.500 0.000 0.500
# - Magnetization: 0.00 μB per formula unit
# - Fermi-level density of states: 0.49 states/eV per atom


# 4
# PBE-GGA Pm2Ni5Ge3H2, optimized geometry
data_Pm2Ni5Ge3H2
_symmetry_space_group_name_H-M 'P 1'
_symmetry_Int_Tables_number 1
_cell_length_a 10.744
_cell_length_b 10.744
_cell_length_c 10.744
_cell_angle_alpha 158.54
_cell_angle_beta 158.54
_cell_angle_gamma 30.54
loop_
_symmetry_equiv_pos_as_xyz
'x,y,z'
loop_
_atom_site_label
_atom_site_type_symbol
_atom_site_fract_x
_atom_site_fract_y
_atom_site_fract_z
Pm1 Pm 0.192 0.192 0.000
Pm2 Pm 0.808 0.808 0.000
Ni1 Ni 0.000 0.000 0.000
Ni2 Ni 0.075 0.575 0.500
Ni3 Ni 0.425 0.925 0.500
Ni4 Ni 0.575 0.075 0.500
Ni5 Ni 0.925 0.425 0.500
Ge1 Ge 0.352 0.352 0.000
Ge2 Ge 0.500 0.500 0.000
Ge3 Ge 0.648 0.648 0.000
H1 H 0.077 0.077 0.000
H2 H 0.923 0.923 0.000
# - Magnetization: 0.18 μB per formula unit
# - Fermi-level density of states: 0.84 states/eV per atom


# 5
# PBE-GGA Pm2NiGeH, optimized geometry
data_Pm2NiGeH
_symmetry_space_group_name_H-M 'P 1'
_symmetry_Int_Tables_number 1
_cell_length_a 6.126
_cell_length_b 4.081
_cell_length_c 8.117
_cell_angle_alpha 90.00
_cell_angle_beta 107.58
_cell_angle_gamma 90.00
loop_
_symmetry_equiv_pos_as_xyz
'x,y,z'
loop_
_atom_site_label
_atom_site_type_symbol
_atom_site_fract_x
_atom_site_fract_y
_atom_site_fract_z
Pm1 Pm 0.223 0.250 0.409
Pm2 Pm 0.245 0.250 0.966
Pm3 Pm 0.755 0.750 0.034
Pm4 Pm 0.777 0.750 0.591
Ni1 Ni 0.438 0.750 0.239
Ni2 Ni 0.562 0.250 0.761
Ge1 Ge 0.322 0.750 0.704
Ge2 Ge 0.678 0.250 0.296
H1 H 0.164 0.750 0.170
H2 H 0.836 0.250 0.830
# - Magnetization: 0.00 μB per formula unit
# - Fermi-level density of states: 0.71 states/eV per atom


# 6
# PBE-GGA PmNi2GeH, optimized geometry
data_PmNi2GeH
_symmetry_space_group_name_H-M 'P 1'
_symmetry_Int_Tables_number 1
_cell_length_a 5.575
_cell_length_b 5.575
_cell_length_c 6.845
_cell_angle_alpha 90.00
_cell_angle_beta 90.00
_cell_angle_gamma 139.31
loop_
_symmetry_equiv_pos_as_xyz
'x,y,z'
loop_
_atom_site_label
_atom_site_type_symbol
_atom_site_fract_x
_atom_site_fract_y
_atom_site_fract_z
Pm1 Pm 0.063 0.937 0.750
Pm2 Pm 0.937 0.063 0.250
Ni1 Ni 0.337 0.663 0.557
Ni2 Ni 0.337 0.663 0.943
Ni3 Ni 0.663 0.337 0.057
Ni4 Ni 0.663 0.337 0.443
Ge1 Ge 0.220 0.780 0.250
Ge2 Ge 0.780 0.220 0.750
H1 H 0.500 0.500 0.000
H2 H 0.500 0.500 0.500
# - Magnetization: 0.00 μB per formula unit
# - Fermi-level density of states: 0.48 states/eV per atom


# 7
# PBE-GGA Pr2Ni5Ge3H2, optimized geometry
data_Pr2Ni5Ge3H2
_symmetry_space_group_name_H-M 'P 1'
_symmetry_Int_Tables_number 1
_cell_length_a 10.867
_cell_length_b 10.867
_cell_length_c 10.867
_cell_angle_alpha 158.67
_cell_angle_beta 158.67
_cell_angle_gamma 30.34
loop_
_symmetry_equiv_pos_as_xyz
'x,y,z'
loop_
_atom_site_label
_atom_site_type_symbol
_atom_site_fract_x
_atom_site_fract_y
_atom_site_fract_z
Pr1 Pr 0.191 0.191 0.000
Pr2 Pr 0.809 0.809 0.000
Ni1 Ni 0.000 0.000 0.000
Ni2 Ni 0.074 0.574 0.500
Ni3 Ni 0.426 0.926 0.500
Ni4 Ni 0.574 0.074 0.500
Ni5 Ni 0.926 0.426 0.500
Ge1 Ge 0.355 0.355 0.000
Ge2 Ge 0.500 0.500 0.000
Ge3 Ge 0.645 0.645 0.000
H1 H 0.076 0.076 0.000
H2 H 0.924 0.924 0.000
# - Magnetization: 0.00 μB per formula unit
# - Fermi-level density of states: 0.77 states/eV per atom


# 8
# PBE-GGA PrNi2GeH, optimized geometry
data_PrNi2GeH
_symmetry_space_group_name_H-M 'P 1'
_symmetry_Int_Tables_number 1
_cell_length_a 5.642
_cell_length_b 5.642
_cell_length_c 6.853
_cell_angle_alpha 90.00
_cell_angle_beta 90.00
_cell_angle_gamma 139.31
loop_
_symmetry_equiv_pos_as_xyz
'x,y,z'
loop_
_atom_site_label
_atom_site_type_symbol
_atom_site_fract_x
_atom_site_fract_y
_atom_site_fract_z
Pr1 Pr 0.064 0.936 0.750
Pr2 Pr 0.936 0.064 0.250
Ni1 Ni 0.336 0.664 0.558
Ni2 Ni 0.336 0.664 0.942
Ni3 Ni 0.664 0.336 0.058
Ni4 Ni 0.664 0.336 0.442
Ge1 Ge 0.219 0.781 0.250
Ge2 Ge 0.781 0.219 0.750
H1 H 0.500 0.500 0.000
H2 H 0.500 0.500 0.500
# - Magnetization: 0.00 μB per formula unit
# - Fermi-level density of states: 0.49 states/eV per atom


# 9
# PBE-GGA PrNiGeH, optimized geometry
data_PrNiGeH
_symmetry_space_group_name_H-M 'P 1'
_symmetry_Int_Tables_number 1
_cell_length_a 4.143
_cell_length_b 4.143
_cell_length_c 4.314
_cell_angle_alpha 90.00
_cell_angle_beta 90.00
_cell_angle_gamma 120.00
loop_
_symmetry_equiv_pos_as_xyz
'x,y,z'
loop_
_atom_site_label
_atom_site_type_symbol
_atom_site_fract_x
_atom_site_fract_y
_atom_site_fract_z
Pr1 Pr 0.000 0.000 0.000
Ni1 Ni 0.667 0.333 0.533
Ge1 Ge 0.333 0.667 0.482
H1 H 0.667 0.333 0.902
# - Magnetization: 0.00 μB per formula unit
# - Fermi-level density of states: 0.50 states/eV per atom


# 10
# PBE-GGA Pu2Ni2Ge2H, optimized geometry
data_Pu2Ni2Ge2H
_symmetry_space_group_name_H-M 'P 1'
_symmetry_Int_Tables_number 1
_cell_length_a 5.500
_cell_length_b 5.500
_cell_length_c 6.737
_cell_angle_alpha 125.15
_cell_angle_beta 125.15
_cell_angle_gamma 44.66
loop_
_symmetry_equiv_pos_as_xyz
'x,y,z'
loop_
_atom_site_label
_atom_site_type_symbol
_atom_site_fract_x
_atom_site_fract_y
_atom_site_fract_z
Pu1 Pu 0.051 0.051 0.324
Pu2 Pu 0.949 0.949 0.676
Ni1 Ni 0.302 0.302 0.226
Ni2 Ni 0.698 0.698 0.774
Ge1 Ge 0.339 0.339 0.895
Ge2 Ge 0.661 0.661 0.105
H1 H 0.500 0.500 0.500
# - Magnetization: 10.54 μB per formula unit
# - Fermi-level density of states: 2.62 states/eV per atom


# 11
# PBE-GGA PuNi2GeH, optimized geometry
data_PuNi2GeH
_symmetry_space_group_name_H-M 'P 1'
_symmetry_Int_Tables_number 1
_cell_length_a 5.577
_cell_length_b 5.577
_cell_length_c 6.716
_cell_angle_alpha 90.00
_cell_angle_beta 90.00
_cell_angle_gamma 139.64
loop_
_symmetry_equiv_pos_as_xyz
'x,y,z'
loop_
_atom_site_label
_atom_site_type_symbol
_atom_site_fract_x
_atom_site_fract_y
_atom_site_fract_z
Pu1 Pu 0.058 0.942 0.750
Pu2 Pu 0.942 0.058 0.250
Ni1 Ni 0.338 0.662 0.558
Ni2 Ni 0.338 0.662 0.942
Ni3 Ni 0.662 0.338 0.058
Ni4 Ni 0.662 0.338 0.442
Ge1 Ge 0.223 0.777 0.250
Ge2 Ge 0.777 0.223 0.750
H1 H 0.500 0.500 0.000
H2 H 0.500 0.500 0.500
# - Magnetization: 5.35 μB per formula unit
# - Fermi-level density of states: 2.07 states/eV per atom


# 12
# PBE-GGA Ni2GeHRu, optimized geometry
data_Ni2GeHRu
_symmetry_space_group_name_H-M 'P 1'
_symmetry_Int_Tables_number 1
_cell_length_a 3.669
_cell_length_b 3.669
_cell_length_c 3.867
_cell_angle_alpha 90.00
_cell_angle_beta 90.00
_cell_angle_gamma 90.00
loop_
_symmetry_equiv_pos_as_xyz
'x,y,z'
loop_
_atom_site_label
_atom_site_type_symbol
_atom_site_fract_x
_atom_site_fract_y
_atom_site_fract_z
Ni1 Ni 0.000 0.500 0.000
Ni2 Ni 0.500 0.000 0.000
Ge1 Ge 0.000 0.000 0.500
H1 H 0.500 0.500 0.000
Ru1 Ru 0.500 0.500 0.500
# - Magnetization: 0.00 μB per formula unit
# - Fermi-level density of states: 0.82 states/eV per atom


no.,total energy (Ry/atom)
1,-0.44483
2,-0.43362
3,-0.36959
4,-0.38951
5,-0.38804
6,-0.40054
7,-0.38846
8,-0.39893
9,-0.38762
10,-0.58619
11,-0.52834
12,-0.43434